[1]
Compound: Sr2PuCrN5
Source: Alexandria via LeMat-Bulk
Functional: PBE
Structure: optimized geometry

Cell lengths 7.396, 7.396, 11.015 Å; angles 90.00, 90.00, 152.64 degrees
Atoms (fractional coordinates):
Sr: 0.107 0.893 0.500
Sr: 0.142 0.858 0.160
Sr: 0.858 0.142 0.660
Sr: 0.893 0.107 0.000
Pu: 0.198 0.802 0.862
Pu: 0.802 0.198 0.362
Cr: 0.455 0.545 0.258
Cr: 0.545 0.455 0.758
N: 0.041 0.959 0.830
N: 0.293 0.707 0.481
N: 0.329 0.671 0.234
N: 0.335 0.665 0.838
N: 0.497 0.503 0.623
N: 0.503 0.497 0.123
N: 0.665 0.335 0.338
N: 0.671 0.329 0.734
N: 0.707 0.293 0.981
N: 0.959 0.041 0.330

Computed properties:
- formation energy without anion corrections (eV/f.u.) = -7.1
- electronic total energy (eV per cell) = -152.05

***

[2]
Compound: Sr2PuCrN4
Source: Alexandria via LeMat-Bulk
Functional: PBE
Structure: optimized geometry

Cell lengths 5.839, 7.632, 6.015 Å; angles 90.00, 90.00, 90.00 degrees
Atoms (fractional coordinates):
Sr: 0.250 0.006 0.227
Sr: 0.250 0.494 0.227
Sr: 0.750 0.506 0.773
Sr: 0.750 0.994 0.773
Pu: 0.250 0.250 0.744
Pu: 0.750 0.750 0.256
Cr: 0.250 0.750 0.804
Cr: 0.750 0.250 0.196
N: 0.011 0.750 0.005
N: 0.250 0.544 0.664
N: 0.250 0.956 0.664
N: 0.489 0.750 0.005
N: 0.511 0.250 0.995
N: 0.750 0.044 0.336
N: 0.750 0.456 0.336
N: 0.989 0.250 0.995

Computed properties:
- formation energy without anion corrections (eV/f.u.) = -6.9
- electronic total energy (eV per cell) = -135.08

***

[3]
Compound: Pu2TaCrN5
Source: Alexandria via LeMat-Bulk
Functional: PBE
Structure: optimized geometry

Cell lengths 6.697, 6.697, 10.064 Å; angles 90.00, 90.00, 152.18 degrees
Atoms (fractional coordinates):
Pu: 0.106 0.894 0.500
Pu: 0.145 0.855 0.109
Pu: 0.855 0.145 0.609
Pu: 0.894 0.106 0.000
Ta: 0.211 0.789 0.818
Ta: 0.789 0.211 0.318
Cr: 0.479 0.521 0.269
Cr: 0.521 0.479 0.769
N: 0.046 0.954 0.860
N: 0.284 0.716 0.461
N: 0.323 0.677 0.181
N: 0.369 0.631 0.806
N: 0.488 0.512 0.592
N: 0.512 0.488 0.092
N: 0.631 0.369 0.306
N: 0.677 0.323 0.681
N: 0.716 0.284 0.961
N: 0.954 0.046 0.360

Computed properties:
- formation energy without anion corrections (eV/f.u.) = -9.3
- electronic total energy (eV per cell) = -202.12

***

[4]
Compound: TbPu2CrN4
Source: Alexandria via LeMat-Bulk
Functional: PBE
Structure: optimized geometry

Cell lengths 5.944, 5.944, 11.494 Å; angles 90.00, 90.00, 147.47 degrees
Atoms (fractional coordinates):
Tb: 0.111 0.889 0.750
Tb: 0.889 0.111 0.250
Pu: 0.367 0.633 0.549
Pu: 0.367 0.633 0.951
Pu: 0.633 0.367 0.049
Pu: 0.633 0.367 0.451
Cr: 0.153 0.847 0.250
Cr: 0.847 0.153 0.750
N: 0.000 0.000 0.000
N: 0.000 0.000 0.500
N: 0.269 0.731 0.128
N: 0.269 0.731 0.372
N: 0.447 0.553 0.750
N: 0.553 0.447 0.250
N: 0.731 0.269 0.628
N: 0.731 0.269 0.872

Computed properties:
- formation energy without anion corrections (eV/f.u.) = -8.5
- electronic total energy (eV per cell) = -169.47

***

[5]
Compound: Tb2PuCrN5
Source: Alexandria via LeMat-Bulk
Functional: PBE
Structure: optimized geometry

Cell lengths 7.011, 7.011, 10.117 Å; angles 90.00, 90.00, 152.12 degrees
Atoms (fractional coordinates):
Tb: 0.108 0.892 0.500
Tb: 0.135 0.865 0.109
Tb: 0.865 0.135 0.609
Tb: 0.892 0.108 0.000
Pu: 0.208 0.792 0.817
Pu: 0.792 0.208 0.317
Cr: 0.488 0.512 0.271
Cr: 0.512 0.488 0.771
N: 0.042 0.958 0.844
N: 0.285 0.715 0.461
N: 0.316 0.684 0.182
N: 0.375 0.625 0.813
N: 0.491 0.509 0.594
N: 0.509 0.491 0.094
N: 0.625 0.375 0.313
N: 0.684 0.316 0.682
N: 0.715 0.285 0.961
N: 0.958 0.042 0.344

Computed properties:
- formation energy without anion corrections (eV/f.u.) = -10.1
- electronic total energy (eV per cell) = -169.82

***

[6]
Compound: Pu2CrTcN5
Source: Alexandria via LeMat-Bulk
Functional: PBE
Structure: optimized geometry

Cell lengths 6.615, 6.615, 9.693 Å; angles 90.00, 90.00, 151.30 degrees
Atoms (fractional coordinates):
Pu: 0.113 0.887 0.500
Pu: 0.146 0.854 0.130
Pu: 0.854 0.146 0.630
Pu: 0.887 0.113 0.000
Cr: 0.459 0.541 0.275
Cr: 0.541 0.459 0.775
Tc: 0.202 0.798 0.832
Tc: 0.798 0.202 0.332
N: 0.045 0.955 0.871
N: 0.289 0.711 0.478
N: 0.319 0.681 0.187
N: 0.369 0.631 0.822
N: 0.493 0.507 0.600
N: 0.507 0.493 0.100
N: 0.631 0.369 0.322
N: 0.681 0.319 0.687
N: 0.711 0.289 0.978
N: 0.955 0.045 0.371

Computed properties:
- formation energy without anion corrections (eV/f.u.) = -7.0
- electronic total energy (eV per cell) = -194.57

***

[7]
Compound: Pu2CrTcN6
Source: Alexandria via LeMat-Bulk
Functional: PBE
Structure: optimized geometry

Cell lengths 5.509, 5.509, 4.512 Å; angles 90.00, 90.00, 90.00 degrees
Atoms (fractional coordinates):
Pu: 0.000 0.500 0.000
Pu: 0.500 0.000 0.000
Cr: 0.000 0.000 0.650
Tc: 0.500 0.500 0.642
N: 0.000 0.000 0.290
N: 0.245 0.245 0.782
N: 0.245 0.755 0.782
N: 0.500 0.500 0.263
N: 0.755 0.245 0.782
N: 0.755 0.755 0.782

Computed properties:
- formation energy without anion corrections (eV/f.u.) = -4.9
- electronic total energy (eV per cell) = -103.48

***

[8]
Compound: PuTh2CrN4
Source: Alexandria via LeMat-Bulk
Functional: PBE
Structure: optimized geometry

Cell lengths 6.155, 6.155, 12.187 Å; angles 90.00, 90.00, 147.37 degrees
Atoms (fractional coordinates):
Pu: 0.109 0.891 0.750
Pu: 0.891 0.109 0.250
Th: 0.366 0.634 0.549
Th: 0.366 0.634 0.951
Th: 0.634 0.366 0.049
Th: 0.634 0.366 0.451
Cr: 0.164 0.836 0.250
Cr: 0.836 0.164 0.750
N: 0.000 0.000 0.000
N: 0.000 0.000 0.500
N: 0.275 0.725 0.136
N: 0.275 0.725 0.364
N: 0.424 0.576 0.750
N: 0.576 0.424 0.250
N: 0.725 0.275 0.636
N: 0.725 0.275 0.864

Computed properties:
- formation energy without anion corrections (eV/f.u.) = -8.3
- electronic total energy (eV per cell) = -160.86